[1]
Compound: Tl2HgCl2
Source: Alexandria
Functional: PBE
Structure: relaxed

## Properties
* crystal system: tetragonal

Cell: 9.078 9.078 3.909 Å, 90.00 90.00 90.00°
Sites, in units of the cell vectors:
Tl 0.149 0.649 0.500
Tl 0.649 0.851 0.500
Tl 0.351 0.149 0.500
Tl 0.851 0.351 0.500
Hg 0.500 0.500 0.000
Hg 0.000 0.000 0.000
Cl 0.641 0.141 0.000
Cl 0.359 0.859 0.000
Cl 0.141 0.359 0.000
Cl 0.859 0.641 0.000

=====

[2]
Compound: FeP3Br
Source: Alexandria
Functional: PBE
Structure: relaxed

## Properties
* crystal system: cubic

Cell: 4.443 4.443 4.443 Å, 90.00 90.00 90.00°
Site moments in Bohr magnetons follow the coordinates.
Sites, in units of the cell vectors:
P 0.500 0.000 0.000  0.07
P 0.000 0.500 0.000  0.13
P 0.000 0.000 0.500  0.12
Br 0.500 0.500 0.500  -0.03
Fe 0.000 0.000 0.000  1.12

=====

no.,E above lowest polymorph (meV/atom),E_form (uncorrected) (eV per atom)
1,43,-0.727
2,0,0.563